Li2InHg | PBE-GGA | relaxed

## Properties
crystal system: orthorhombic
density of states at the Fermi level: 0.875 states/eV/f.u.
calculated formation energy: -0.330 eV/atom

Lattice parameters (Å, degrees): 3.2869 4.7878 4.7891 90.00 90.00 90.00
With the nearest neighbours (Å) after each atom.
Space group Pmm2 (No. 25)
Inequivalent atoms, fractional coordinates:
Li: 0.0000 0.0000 0.0000 x1  4 In 2.90-2.91, 4 Hg 2.90
Li: 0.0000 0.5000 0.4892 x1  4 Hg 2.90-2.91, 4 In 2.90
In: 0.5000 0.0000 0.4995 x1  8 Li 2.90-2.91
Hg: 0.5000 0.5000 0.9904 x1  8 Li 2.90-2.91